Model i:
Y3Er2Tm2Ni2Te2 | PBE-GGA | optimized geometry

a = 9.307 Å, b = 9.307 Å, c = 9.307 Å
α = 156.18°, β = 67.13°, γ = 118.28°
Atoms (fractional coordinates):
Y  0.977  0.477  0.500
Y  0.913  0.098  0.815
Y  0.283  0.098  0.185
Ni  0.664  0.403  0.261
Ni  0.142  0.403  0.739
Er  0.600  0.747  0.853
Er  0.894  0.747  0.147
Te  0.640  0.140  0.500
Te  0.244  0.244  0.000
Tm  0.262  0.895  0.367
Tm  0.528  0.895  0.633

Values from the calculation:
As for the space group: No. 44. The crystal system is orthorhombic. As for the calculated density: 7.658 Mg/m³. The calculation puts the volume at 284 Å³ per cell. Its size of the total moment is 0.0012 μB per atom.


Model ii:
Y3Er2Tm2Ni2Te2 | PBE-GGA | optimized geometry

a = 9.308 Å, b = 9.308 Å, c = 9.308 Å
α = 156.12°, β = 66.81°, γ = 118.65°
Atoms (fractional coordinates):
Te  0.242  0.242  0.000
Te  0.639  0.139  0.500
Er  0.261  0.894  0.367
Er  0.527  0.894  0.633
Ni  0.147  0.408  0.739
Ni  0.668  0.408  0.261
Tm  0.283  0.097  0.185
Tm  0.912  0.097  0.815
Y  0.978  0.478  0.500
Y  0.892  0.745  0.147
Y  0.598  0.745  0.853

Values from the calculation:
As for the space group: No. 44. The crystal system is orthorhombic. As for the calculated density: 7.663 Mg/m³. The calculation puts the volume at 284 Å³ per cell. Its size of the total moment is 0.0009 μB per atom.


It is model ii that is the most stable of them.


Model i:
Y3Er2Tm2Ni2Te2 | PBE-GGA | optimized geometry

a = 9.321 Å, b = 9.321 Å, c = 9.321 Å
α = 156.12°, β = 66.73°, γ = 118.73°
Atoms (fractional coordinates):
Y  0.978  0.478  0.500
Y  0.891  0.744  0.147
Y  0.597  0.744  0.853
Ni  0.667  0.407  0.260
Ni  0.147  0.407  0.740
Te  0.244  0.244  0.000
Te  0.638  0.138  0.500
Tm  0.260  0.894  0.367
Tm  0.527  0.894  0.633
Er  0.913  0.098  0.815
Er  0.283  0.098  0.185

Values from the calculation:
As for the space group: No. 44. The crystal system is orthorhombic. As for the calculated density: 7.635 Mg/m³. The calculation puts the volume at 285 Å³ per cell. Its size of the total moment is 0.0007 μB per atom.


Model ii:
Y3Er2Tm2Ni2Te2 | PBE-GGA | optimized geometry

a = 9.313 Å, b = 9.313 Å, c = 9.313 Å
α = 156.23°, β = 67.03°, γ = 118.36°
Atoms (fractional coordinates):
Y  0.913  0.098  0.815
Y  0.283  0.098  0.185
Y  0.977  0.477  0.500
Tm  0.600  0.747  0.853
Tm  0.894  0.747  0.147
Er  0.528  0.895  0.632
Er  0.263  0.895  0.368
Ni  0.142  0.403  0.738
Ni  0.665  0.403  0.262
Te  0.641  0.141  0.500
Te  0.242  0.242  0.000

Values from the calculation:
As for the space group: No. 44. The crystal system is orthorhombic. As for the calculated density: 7.663 Mg/m³. The calculation puts the volume at 284 Å³ per cell. Its size of the total moment is 0.0010 μB per atom.


It is model i that is the most stable of them.